# PmSbPdAu

A relaxed structure of PmSbPdAu (GGA-PBE, the Alexandria database).

Lattice parameters (Å, degrees): 4.9869 4.9869 4.9869 60.00 60.00 60.00
With the nearest neighbours (Å) after each atom.
Fractional coordinates of all 4 atoms:
Pm  0.0000  0.0000  0.0000  4 Au 3.05, 4 Pd 3.05
Sb  0.5000  0.5000  0.5000  4 Au 3.05, 4 Pd 3.05
Pd  0.2500  0.2500  0.2500  4 Sb 3.05, 4 Pm 3.05
Au  0.7500  0.7500  0.7500  4 Sb 3.05, 4 Pm 3.05

Summary:
energy relative to the elements, uncorrected: -268 kJ/mol of formula units
Fermi-level density of states: 2.19 states/eV/cell
space group: F-43m (216)